[1]
# CaLa2B10O19 (SCAN, single point on PBEsol structure)
data_CaLa2B10O19
_cell_length_a 11.023
_cell_length_b 6.563
_cell_length_c 9.095
_cell_angle_alpha 90.00
_cell_angle_beta 91.55
_cell_angle_gamma 90.00
_symmetry_space_group_name_H-M 'C 1 2 1'
_symmetry_Int_Tables_number 5
loop_
_symmetry_equiv_pos_as_xyz
'x,y,z'
'-x,y,-z'
'x+1/2,y+1/2,z'
'-x+1/2,y+1/2,-z'
loop_
_atom_site_label
_atom_site_type_symbol
_atom_site_fract_x
_atom_site_fract_y
_atom_site_fract_z
Ca1 Ca 0.000 0.000 0.000
La1 La 0.162 0.814 0.642
B1 B 0.039 0.489 0.339
B2 B 0.068 0.120 0.374
B3 B 0.115 0.251 0.771
B4 B 0.173 0.799 0.292
B5 B 0.232 0.791 0.028
O1 O 0.000 0.046 0.500
O2 O 0.015 0.102 0.754
O3 O 0.071 0.690 0.367
O4 O 0.073 0.458 0.723
O5 O 0.112 0.334 0.388
O6 O 0.145 0.814 0.135
O7 O 0.148 0.256 0.928
O8 O 0.179 0.000 0.365
O9 O 0.193 0.811 0.887
O10 O 0.216 0.185 0.681
# Total energy: -383.81 eV per formula unit
# ΔE_f (raw): -2.9765 eV/atom



[2]
# Li2CaB2 (SCAN, single point on PBEsol structure)
data_Li2CaB2
_cell_length_a 6.336
_cell_length_b 6.336
_cell_length_c 3.956
_cell_angle_alpha 90.00
_cell_angle_beta 90.00
_cell_angle_gamma 90.00
_symmetry_space_group_name_H-M 'P 4/m b m'
_symmetry_Int_Tables_number 127
_symmetry_space_group_name_Hall '-P 4 2ab'
loop_
_atom_site_label
_atom_site_type_symbol
_atom_site_fract_x
_atom_site_fract_y
_atom_site_fract_z
Li1 Li 0.134 0.366 0.000
Ca1 Ca 0.000 0.000 0.500
B1 B 0.087 0.587 0.500
# Total energy: -27.52 eV per formula unit
# E_form: 0.36 eV per atom



[3]
# CaMgBN2 (SCAN, single point on PBEsol structure)
data_CaMgBN2
_cell_length_a 4.025
_cell_length_b 4.025
_cell_length_c 4.191
_cell_angle_alpha 90.00
_cell_angle_beta 90.00
_cell_angle_gamma 90.00
_symmetry_space_group_name_H-M 'P 4/m m m'
_symmetry_Int_Tables_number 123
_symmetry_space_group_name_Hall '-P 4 2'
loop_
_atom_site_label
_atom_site_type_symbol
_atom_site_fract_x
_atom_site_fract_y
_atom_site_fract_z
Ca1 Ca 0.000 0.000 0.000
Mg1 Mg 0.500 0.500 0.500
B1 B 0.500 0.500 0.000
N1 N 0.000 0.500 0.500
# Total energy: -35.82 eV per formula unit
# ΔE_f (raw): 0.9658 eV/atom



[4]
# Ca2MnSiB (SCAN, single point on PBEsol structure)
data_Ca2MnSiB
_cell_length_a 5.382
_cell_length_b 5.382
_cell_length_c 3.826
_cell_angle_alpha 90.00
_cell_angle_beta 90.00
_cell_angle_gamma 90.00
_symmetry_space_group_name_H-M 'P 4/m m m'
_symmetry_Int_Tables_number 123
_symmetry_space_group_name_Hall '-P 4 2'
loop_
_atom_site_label
_atom_site_type_symbol
_atom_site_fract_x
_atom_site_fract_y
_atom_site_fract_z
Ca1 Ca 0.000 0.500 0.000
Mn1 Mn 0.000 0.000 0.000
Si1 Si 0.500 0.500 0.500
B1 B 0.000 0.000 0.500
# Total energy: -52.03 eV per formula unit
# ΔE_f (raw): 0.5996 eV/atom



[5]
# Ca3BN (SCAN, single point on PBEsol structure)
data_Ca3BN
_cell_length_a 4.676
_cell_length_b 4.676
_cell_length_c 4.676
_cell_angle_alpha 90.00
_cell_angle_beta 90.00
_cell_angle_gamma 90.00
_symmetry_space_group_name_H-M 'P m -3 m'
_symmetry_Int_Tables_number 221
_symmetry_space_group_name_Hall '-P 4 2 3'
loop_
_atom_site_label
_atom_site_type_symbol
_atom_site_fract_x
_atom_site_fract_y
_atom_site_fract_z
Ca1 Ca 0.000 0.000 0.500
B1 B 0.500 0.500 0.500
N1 N 0.000 0.000 0.000
# Total energy: -46.42 eV per formula unit
# ΔE_f (raw): -0.1423 eV/atom



[6]
# Ca5B3N6 (SCAN, single point on PBEsol structure)
data_Ca5B3N6
_cell_length_a 7.314
_cell_length_b 7.314
_cell_length_c 7.314
_cell_angle_alpha 90.00
_cell_angle_beta 90.00
_cell_angle_gamma 90.00
_symmetry_space_group_name_H-M 'I m -3 m'
_symmetry_Int_Tables_number 229
_symmetry_space_group_name_Hall '-I 4 2 3'
loop_
_atom_site_label
_atom_site_type_symbol
_atom_site_fract_x
_atom_site_fract_y
_atom_site_fract_z
Ca1 Ca 0.000 0.000 0.000
Ca2 Ca 0.250 0.250 0.250
B1 B 0.000 0.000 0.500
N1 N 0.000 0.000 0.316
# Total energy: -144.75 eV per formula unit
# ΔE_f (raw): -1.3140 eV/atom



[7]
# CaBSN2 (SCAN, single point on PBEsol structure)
data_CaBSN2
_cell_length_a 3.503
_cell_length_b 3.503
_cell_length_c 4.689
_cell_angle_alpha 90.00
_cell_angle_beta 90.00
_cell_angle_gamma 90.00
_symmetry_space_group_name_H-M 'P 4/m m m'
_symmetry_Int_Tables_number 123
_symmetry_space_group_name_Hall '-P 4 2'
loop_
_atom_site_label
_atom_site_type_symbol
_atom_site_fract_x
_atom_site_fract_y
_atom_site_fract_z
Ca1 Ca 0.000 0.000 0.000
B1 B 0.500 0.500 0.500
S1 S 0.500 0.500 0.000
N1 N 0.000 0.500 0.500
# Total energy: -42.69 eV per formula unit
# ΔE_f (raw): 0.5232 eV/atom



[8]
# CaBSeN2 (SCAN, single point on PBEsol structure)
data_CaBSeN2
_cell_length_a 3.655
_cell_length_b 3.655
_cell_length_c 4.670
_cell_angle_alpha 90.00
_cell_angle_beta 90.00
_cell_angle_gamma 90.00
_symmetry_space_group_name_H-M 'P 4/m m m'
_symmetry_Int_Tables_number 123
_symmetry_space_group_name_Hall '-P 4 2'
loop_
_atom_site_label
_atom_site_type_symbol
_atom_site_fract_x
_atom_site_fract_y
_atom_site_fract_z
Ca1 Ca 0.000 0.000 0.000
B1 B 0.500 0.500 0.500
Se1 Se 0.500 0.500 0.000
N1 N 0.000 0.500 0.500
# Total energy: -52.17 eV per formula unit
# ΔE_f (raw): 0.7163 eV/atom